(1)
Compound: Sr3Sb3Ir
Source: the Alexandria database
Functional: GGA-PBE
Structure: optimized geometry

**Space group**: No. 12
**Magnetization**: 0.0 μB per formula unit
**Uncorrected energy**: -4.53 eV per atom

a b c (Å): 6.4607 6.4607 16.5013
angles (deg): 107.05 107.05 41.49
Element x y z (fractional)
1 Sr 0.0250 0.0250 0.2403
2 Sr 0.1803 0.1803 0.0824
3 Sr 0.3862 0.3862 0.3924
4 Sr 0.6138 0.6138 0.6076
5 Sr 0.8197 0.8197 0.9176
6 Sr 0.9750 0.9750 0.7597
7 Sb 0.1363 0.1363 0.4602
8 Sb 0.2534 0.2534 0.7443
9 Sb 0.4481 0.4481 0.0682
10 Sb 0.5519 0.5519 0.9318
11 Sb 0.7466 0.7466 0.2557
12 Sb 0.8637 0.8637 0.5398
13 Ir 0.3262 0.3262 0.6058
14 Ir 0.6738 0.6738 0.3942

---

(2)
Compound: SrSb3Ir
Source: the Alexandria database
Functional: GGA-PBE
Structure: optimized geometry

**Space group**: No. 31
**Magnetization**: 0.0 μB per formula unit
**Uncorrected energy**: -5.03 eV per atom

a b c (Å): 6.8493 6.2107 6.3204
angles (deg): 90.00 90.00 90.00
Element x y z (fractional)
1 Sr 0.0000 0.1453 0.0000
2 Sr 0.5000 0.8547 0.5000
3 Sb 0.0000 0.8941 0.5495
4 Sb 0.2445 0.3261 0.4506
5 Sb 0.2555 0.6739 0.9506
6 Sb 0.5000 0.1059 0.0495
7 Sb 0.7445 0.6739 0.9506
8 Sb 0.7555 0.3261 0.4506
9 Ir 0.0000 0.5994 0.2580
10 Ir 0.5000 0.4006 0.7580

---

(3)
Compound: Sr3Sb4Ir4
Source: the Alexandria database
Functional: GGA-PBE
Structure: optimized geometry

**Space group**: No. 217
**Magnetization**: 0.0 μB per formula unit
**Uncorrected energy**: -5.66 eV per atom

a b c (Å): 7.0976 7.0976 7.0976
angles (deg): 109.47 109.47 109.47
Element x y z (fractional)
1 Sr 0.0000 0.5000 0.5000
2 Sr 0.5000 0.0000 0.5000
3 Sr 0.5000 0.5000 0.0000
4 Sb 0.0000 0.0000 0.6344
5 Sb 0.0000 0.6344 0.0000
6 Sb 0.3656 0.3656 0.3656
7 Sb 0.6344 0.0000 0.0000
8 Ir 0.0000 0.0000 0.2766
9 Ir 0.0000 0.2766 0.0000
10 Ir 0.2766 0.0000 0.0000
11 Ir 0.7234 0.7234 0.7234